1.
Li3Mn2Pd4: relaxed, PBE-GGA.

Results
M_tot ... 8.99 μB/cell
Symmetry ... P-3m1, No. 164
Total energy ... -5.294 eV/atom

abc: 4.3089 4.3089 8.1141
angles: 90.00 90.00 120.00
Fractional coordinates of all 9 atoms:
Li1 0.0000 0.0000 0.0000
Li2 0.3333 0.6667 0.4409
Li3 0.6667 0.3333 0.5591
Mn1 0.3333 0.6667 0.7816
Mn2 0.6667 0.3333 0.2184
Pd1 0.0000 0.0000 0.3283
Pd2 0.0000 0.0000 0.6717
Pd3 0.3333 0.6667 0.1095
Pd4 0.6667 0.3333 0.8905

2.
RbAgPdCl4: relaxed, PBE-GGA.

Results
M_tot ... 3.96 μB/cell
Symmetry ... P2_1/m, No. 11
Total energy ... -3.075 eV/atom

abc: 6.6628 7.2275 8.7796
angles: 90.00 103.78 90.00
Fractional coordinates of all 14 atoms:
Rb1 0.2388 0.2500 0.4389
Rb2 0.7612 0.7500 0.5611
Ag1 0.3825 0.2500 0.0100
Ag2 0.6175 0.7500 0.9900
Pd1 0.2913 0.7500 0.1494
Pd2 0.7087 0.2500 0.8506
Cl1 0.0209 0.2500 0.0552
Cl2 0.1674 0.7500 0.3892
Cl3 0.4419 0.0111 0.7777
Cl4 0.4419 0.4889 0.7777
Cl5 0.5581 0.5111 0.2223
Cl6 0.5581 0.9889 0.2223
Cl7 0.8326 0.2500 0.6108
Cl8 0.9791 0.7500 0.9448

3.
NdThZn2: relaxed, PBE-GGA.

Results
M_tot ... 0.00 μB/cell
Excess energy over the best structure of this formula in the dataset ... 20 meV/atom
Symmetry ... Fm-3m, No. 225
Total energy ... -3.904 eV/atom

abc: 5.1952 5.1952 5.1952
angles: 60.00 60.00 60.00
Fractional coordinates of all 4 atoms:
Nd1 0.0000 0.0000 0.0000
Th1 0.5000 0.5000 0.5000
Zn1 0.2500 0.2500 0.2500
Zn2 0.7500 0.7500 0.7500